! Sm2HfH8 (PBE, optimized geometry); values from VASP
! - VASP energy (eV/f.u.) = -51.67
! - theoretical density (g/cm³) = 7.31
! - spin magnetization (Bohr magnetons per cell) = 0.00
! - N(E_F) (states/eV per cell) = 1.8
&SYSTEM
  ibrav = 0, nat = 11, ntyp = 3
/
ATOMIC_SPECIES
Sm 150.36 Sm.upf
Hf 178.49 Hf.upf
H 1.01 H.upf
ATOMIC_POSITIONS crystal
Sm 0.154 0.654 0.308
Sm 0.846 0.346 0.692
Hf 0.500 0.000 0.000
H 0.620 0.882 0.240
H 0.380 0.641 0.760
H 0.235 0.235 0.470
H 0.000 0.237 0.000
H 0.765 0.765 0.530
H 0.620 0.359 0.240
H 0.380 0.118 0.760
H 0.000 0.763 0.000
CELL_PARAMETERS angstrom
-2.197 1.419 -2.479
-0.393 -4.049 -1.970
-4.058 -0.083 6.166

=====

! SmHfH2 (PBE, optimized geometry); values from VASP
! - VASP energy (eV/f.u.) = -22.26
! - theoretical density (g/cm³) = 10.08
! - spin magnetization (Bohr magnetons per cell) = 0.00
! - N(E_F) (states/eV per cell) = 3.6
&SYSTEM
  ibrav = 0, nat = 4, ntyp = 3
/
ATOMIC_SPECIES
H 1.01 H.upf
Hf 178.49 Hf.upf
Sm 150.36 Sm.upf
ATOMIC_POSITIONS crystal
H 0.272 0.272 0.183
H 0.728 0.728 0.817
Hf 0.000 0.000 0.000
Sm 0.500 0.500 0.500
CELL_PARAMETERS angstrom
3.333 0.000 0.000
1.667 2.887 0.000
1.667 0.962 5.665

=====

! SmHf2H (PBE, optimized geometry); values from VASP
! - VASP energy (eV/f.u.) = -27.39
! - theoretical density (g/cm³) = 10.68
! - spin magnetization (Bohr magnetons per cell) = 0.00
! - N(E_F) (states/eV per cell) = 4.7
&SYSTEM
  ibrav = 0, nat = 4, ntyp = 3
/
ATOMIC_SPECIES
H 1.01 H.upf
Hf 178.49 Hf.upf
Sm 150.36 Sm.upf
ATOMIC_POSITIONS crystal
H 0.500 0.500 0.500
Hf 0.119 0.119 0.642
Hf 0.881 0.881 0.358
Sm 0.000 0.000 0.000
CELL_PARAMETERS angstrom
-1.521 2.410 1.537
-1.501 -0.566 2.813
6.325 2.503 5.744

=====

! Hf3Sn2H2 (PBE, optimized geometry); values from VASP
! - VASP energy (eV/f.u.) = -46.83
! - theoretical density (g/cm³) = 11.12
! - spin magnetization (Bohr magnetons per cell) = 0.00
! - N(E_F) (states/eV per cell) = 4.8
&SYSTEM
  ibrav = 0, nat = 14, ntyp = 3
/
ATOMIC_SPECIES
Hf 178.49 Hf.upf
Sn 118.71 Sn.upf
H 1.01 H.upf
ATOMIC_POSITIONS crystal
Hf 0.500 0.500 0.000
Hf 0.000 0.000 0.000
Hf 0.788 0.126 0.630
Hf 0.712 0.626 0.370
Hf 0.288 0.374 0.630
Hf 0.212 0.874 0.370
Sn 0.897 0.589 0.789
Sn 0.397 0.911 0.789
Sn 0.603 0.089 0.211
Sn 0.103 0.411 0.211
H 0.564 0.384 0.638
H 0.936 0.884 0.362
H 0.064 0.116 0.638
H 0.436 0.616 0.362
CELL_PARAMETERS angstrom
7.654 0.000 -0.858
0.000 5.666 0.000
2.634 0.000 5.039

=====

! Hf4SnH (PBE, optimized geometry); values from VASP
! - VASP energy (eV/f.u.) = -47.81
! - theoretical density (g/cm³) = 11.47
! - spin magnetization (Bohr magnetons per cell) = 0.00
! - N(E_F) (states/eV per cell) = 5.8
&SYSTEM
  ibrav = 0, nat = 12, ntyp = 3
/
ATOMIC_SPECIES
Hf 178.49 Hf.upf
Sn 118.71 Sn.upf
H 1.01 H.upf
ATOMIC_POSITIONS crystal
Hf 0.047 0.148 0.889
Hf 0.790 0.645 0.566
Hf 0.342 0.741 0.889
Hf 0.276 0.921 0.566
Hf 0.724 0.079 0.434
Hf 0.658 0.259 0.111
Hf 0.210 0.355 0.434
Hf 0.953 0.852 0.111
Sn 0.358 0.608 0.216
Sn 0.642 0.392 0.784
H 0.115 0.865 0.730
H 0.885 0.135 0.270
CELL_PARAMETERS angstrom
5.703 0.420 0.000
-1.022 6.240 0.000
-2.341 -3.330 6.703

=====

! HfSnH (PBE, optimized geometry); values from VASP
! - theoretical density (g/cm³) = 10.40
! - polymorph energy (0 for the lowest one) (meV per atom) = 113
! - spin magnetization (Bohr magnetons per cell) = 0.00
! - N(E_F) (states/eV per cell) = 3.5
&SYSTEM
  ibrav = 0, nat = 12, ntyp = 3
/
ATOMIC_SPECIES
H 1.01 H.upf
Hf 178.49 Hf.upf
Sn 118.71 Sn.upf
ATOMIC_POSITIONS crystal
H 0.250 0.582 0.446
H 0.250 0.918 0.946
H 0.750 0.082 0.054
H 0.750 0.418 0.554
Hf 0.250 0.259 0.498
Hf 0.750 0.741 0.502
Hf 0.750 0.759 0.002
Hf 0.250 0.241 0.998
Sn 0.750 0.073 0.738
Sn 0.750 0.427 0.238
Sn 0.250 0.573 0.762
Sn 0.250 0.927 0.262
CELL_PARAMETERS angstrom
3.362 0.000 0.000
0.000 6.032 0.000
0.000 0.000 9.388

=====

! Hf7Sn2H2 (PBE, optimized geometry); values from VASP
! - VASP energy (eV/f.u.) = -86.67
! - theoretical density (g/cm³) = 11.98
! - spin magnetization (Bohr magnetons per cell) = 0.00
! - N(E_F) (states/eV per cell) = 6.7
&SYSTEM
  ibrav = 0, nat = 11, ntyp = 3
/
ATOMIC_SPECIES
Hf 178.49 Hf.upf
Sn 118.71 Sn.upf
H 1.01 H.upf
ATOMIC_POSITIONS crystal
Hf 0.841 0.174 0.501
Hf 0.503 0.828 0.839
Hf 0.159 0.826 0.499
Hf 0.497 0.172 0.161
Hf 0.000 0.000 0.000
Hf 0.667 0.665 0.332
Hf 0.333 0.335 0.668
Sn 0.831 0.498 0.833
Sn 0.169 0.502 0.167
H 0.746 0.011 0.254
H 0.254 0.989 0.746
CELL_PARAMETERS angstrom
-3.691 -3.613 -2.931
3.783 0.685 -4.596
2.783 -5.172 0.856

=====

! Hf5Sn2H2 (PBE, optimized geometry); values from VASP
! - VASP energy (eV/f.u.) = -67.53
! - theoretical density (g/cm³) = 11.95
! - spin magnetization (Bohr magnetons per cell) = 0.00
! - N(E_F) (states/eV per cell) = 4.8
&SYSTEM
  ibrav = 0, nat = 9, ntyp = 3
/
ATOMIC_SPECIES
Hf 178.49 Hf.upf
Sn 118.71 Sn.upf
H 1.01 H.upf
ATOMIC_POSITIONS crystal
Hf 0.290 0.580 0.146
Hf 0.710 0.420 0.854
Hf 0.137 0.274 0.557
Hf 0.863 0.726 0.443
Hf 0.000 0.000 0.000
Sn 0.425 0.851 0.731
Sn 0.575 0.149 0.269
H 0.152 0.305 0.816
H 0.848 0.695 0.184
CELL_PARAMETERS angstrom
-2.657 -2.476 1.394
4.891 -2.682 -0.869
2.868 0.912 7.083